Below is a relaxed CsMn2F8 crystal, with properties calculated at the PBE with a Hubbard U level.

The energy above the most stable polymorph in this dataset comes out at 230 meV/atom. As for the total magnetization: 7.0 Bohr magnetons per cell.

The structure belongs to space group P4/mmm (No. 123); the cell edges are 4.9217, 4.9217 and 7.2875 Å and the angles 90.00°, 90.00° and 90.00°. The distinct sites, in fractional coordinates, are Cs at (0.0000, 0.0000, 0.0000), Mn at (0.0000, 0.5000, 0.5000) and F at (0.2507, 0.2507, 0.3410).